Entry 1:
Entry from the Alexandria database: YTlSi2 after structural relaxation (GGA-PBEsol).

Properties
D(E_F)	4.10	states/eV/cell
calculated total energy	-5.466	eV per atom
formation energy from raw total energies	-0.23	eV per atom

Lattice parameters (Å, degrees): 10.689 3.690 4.655 90.00 115.14 90.00
Space group Cm (No. 8)
Inequivalent atoms, fractional coordinates:
Y  0.000  0.000  0.000 [2 per cell]
Tl  0.219  0.000  0.714 [2 per cell]
Si  0.265  0.500  0.258 [2 per cell]
Si  0.431  0.000  0.432 [2 per cell]


Entry 2:
Entry from the Alexandria database: Y2TlSi after structural relaxation (GGA-PBEsol).

Properties
D(E_F)	5.87	states/eV/cell
calculated total energy	-6.117	eV per atom
formation energy from raw total energies	-0.61	eV per atom

Lattice parameters (Å, degrees): 4.074 4.359 10.940 90.00 90.00 90.00
Space group Amm2 (No. 38)
Inequivalent atoms, fractional coordinates:
Y  0.000  0.000  0.000 [2 per cell]
Y  0.500  0.000  0.280 [2 per cell]
Tl  0.500  0.000  0.562 [2 per cell]
Si  0.000  0.000  0.731 [2 per cell]


Entry 3:
Entry from the Alexandria database: Y4TlSi after structural relaxation (GGA-PBEsol).

Properties
D(E_F)	23.53	states/eV/cell
calculated total energy	-5.597	eV per atom
formation energy from raw total energies	0.35	eV per atom

Lattice parameters (Å, degrees): 8.604 8.604 8.604 90.00 90.00 90.00
Space group F-43m (No. 216)
Inequivalent atoms, fractional coordinates:
Y  0.125  0.125  0.125 [16 per cell]
Tl  0.250  0.250  0.750 [4 per cell]
Si  0.000  0.000  0.500 [4 per cell]


- What is the formula in the third record?
  Y4TlSi


- What is the D(E_F) in the first record?
  4.10 states/eV/cell


- What is the formula in the second record?
  Y2TlSi


- Number 2 is which compound?
  Y2TlSi